# Ce5GaOs2 PBE optimized geometry
# V	30.942	Å³ per atom
# E above lowest polymorph	0.2694	eV per atom
# symmetry	No. 63
data_Ce5GaOs2
_cell_length_a 5.595
_cell_length_b 7.291
_cell_length_c 13.144
_cell_angle_alpha 90.00
_cell_angle_beta 90.00
_cell_angle_gamma 112.56
_symmetry_space_group_name_H-M 'P 1'
_symmetry_Int_Tables_number 1
loop_
_symmetry_equiv_pos_as_xyz
'x,y,z'
loop_
_atom_site_label
_atom_site_fract_x
_atom_site_fract_y
_atom_site_fract_z
_atom_site_occupancy
Ce1 0.334 0.669 0.453 1
Ga1 0.223 0.446 0.250 1
Os1 0.145 0.289 0.949 1
Ce2 0.666 0.331 0.953 1
Ce3 0.219 0.439 0.750 1
Ce4 0.781 0.561 0.250 1
Ce5 0.961 0.922 0.869 1
Ce6 0.666 0.331 0.547 1
Ga2 0.777 0.554 0.750 1
Os2 0.855 0.711 0.051 1
Os3 0.855 0.711 0.449 1
Ce7 0.039 0.078 0.131 1
Ce8 0.039 0.078 0.369 1
Ce9 0.961 0.922 0.631 1
Os4 0.145 0.289 0.551 1
Ce10 0.334 0.669 0.047 1

=====

# Ce3Ga9Os2 PBE optimized geometry
# V	18.536	Å³ per atom
# symmetry	No. 71
data_Ce3Ga9Os2
_cell_length_a 4.370
_cell_length_b 8.163
_cell_length_c 8.163
_cell_angle_alpha 70.62
_cell_angle_beta 74.47
_cell_angle_gamma 74.47
_symmetry_space_group_name_H-M 'P 1'
_symmetry_Int_Tables_number 1
loop_
_symmetry_equiv_pos_as_xyz
'x,y,z'
loop_
_atom_site_label
_atom_site_fract_x
_atom_site_fract_y
_atom_site_fract_z
_atom_site_occupancy
Ce1 0.699 0.301 0.301 1
Ce2 0.000 0.000 0.000 1
Ga1 0.653 0.986 0.709 1
Ga2 0.869 0.850 0.413 1
Os1 0.500 0.328 0.672 1
Ga3 0.131 0.150 0.587 1
Ce3 0.301 0.699 0.699 1
Ga4 0.000 0.500 0.500 1
Os2 0.500 0.672 0.328 1
Ga5 0.653 0.709 0.986 1
Ga6 0.869 0.413 0.850 1
Ga7 0.347 0.291 0.014 1
Ga8 0.347 0.014 0.291 1
Ga9 0.131 0.587 0.150 1

=====

# Ce8Ga2Os PBE optimized geometry
# V	24.209	Å³ per atom
# symmetry	No. 12
data_Ce8Ga2Os
_cell_length_a 5.037
_cell_length_b 6.670
_cell_length_c 8.827
_cell_angle_alpha 109.58
_cell_angle_beta 106.58
_cell_angle_gamma 90.00
_symmetry_space_group_name_H-M 'P 1'
_symmetry_Int_Tables_number 1
loop_
_symmetry_equiv_pos_as_xyz
'x,y,z'
loop_
_atom_site_label
_atom_site_fract_x
_atom_site_fract_y
_atom_site_fract_z
_atom_site_occupancy
Ce1 0.391 0.592 0.783 1
Ce2 0.609 0.408 0.217 1
Ga1 0.192 0.669 0.384 1
Ga2 0.808 0.331 0.616 1
Ce3 0.648 0.891 0.297 1
Os1 0.500 0.000 0.000 1
Ce4 0.995 0.701 0.991 1
Ce5 0.805 0.830 0.609 1
Ce6 0.005 0.299 0.009 1
Ce7 0.352 0.109 0.703 1
Ce8 0.195 0.170 0.391 1

=====

# Ce3Ga3Os2 PBE optimized geometry
# V	21.261	Å³ per atom
# symmetry	No. 62
data_Ce3Ga3Os2
_cell_length_a 5.234
_cell_length_b 8.672
_cell_length_c 14.987
_cell_angle_alpha 90.00
_cell_angle_beta 90.00
_cell_angle_gamma 90.00
_symmetry_space_group_name_H-M 'P 1'
_symmetry_Int_Tables_number 1
loop_
_symmetry_equiv_pos_as_xyz
'x,y,z'
loop_
_atom_site_label
_atom_site_fract_x
_atom_site_fract_y
_atom_site_fract_z
_atom_site_occupancy
Ga1 0.578 0.341 0.750 1
Ga2 0.886 0.789 0.465 1
Ce1 0.905 0.823 0.250 1
Ga3 0.614 0.289 0.035 1
Os1 0.613 0.561 0.403 1
Ga4 0.386 0.711 0.965 1
Ce2 0.601 0.030 0.612 1
Ga5 0.922 0.841 0.750 1
Os2 0.113 0.939 0.597 1
Ce3 0.399 0.970 0.388 1
Ce4 0.399 0.970 0.112 1
Ce5 0.899 0.530 0.612 1
Ga6 0.386 0.711 0.535 1
Ga7 0.886 0.789 0.035 1
Os3 0.613 0.561 0.097 1
Ce6 0.601 0.030 0.888 1
Ce7 0.405 0.677 0.750 1
Ga8 0.114 0.211 0.535 1
Ce8 0.095 0.177 0.750 1
Ga9 0.614 0.289 0.465 1
Os4 0.887 0.061 0.403 1
Ga10 0.422 0.659 0.250 1
Ce9 0.101 0.470 0.388 1
Os5 0.113 0.939 0.903 1
Ga11 0.114 0.211 0.965 1
Os6 0.887 0.061 0.097 1
Ce10 0.899 0.530 0.888 1
Os7 0.387 0.439 0.597 1
Ce11 0.595 0.323 0.250 1
Os8 0.387 0.439 0.903 1
Ce12 0.101 0.470 0.112 1
Ga12 0.078 0.159 0.250 1

=====

| no. | formation energy from the elements (kJ/mol of atoms) |
| --- | --- |
| 1 | 2.1 |
| 2 | -43.7 |
| 3 | -22.3 |
| 4 | -39.6 |